(1)
Density functional theory data (PBEsol) for a geometry-optimized Cs4U2V2O13 structure.

Values from the calculation:
E_form (uncorrected), meV per atom: -2631
E, eV/atom: -8.1355
N(E_F), states/eV/atom: 0.00
Density, g/cm³: 5.40
Spin magnetization, Bohr magnetons per cell: 0.0
Symmetry: Pmmn, No. 59

Cell: 8.3704 13.5743 7.1337 Å, 90.00 90.00 90.00°
Last column: nearest neighbours and their distance in Å.
Element x y z (fractional)
Cs (0.2500, 0.0553, 0.0111)  9 O 3.10-3.34
Cs (0.2500, 0.2500, 0.6319)  12 O 3.17-3.50
Cs (0.2500, 0.4447, 0.0111)  9 O 3.10-3.34
Cs (0.2500, 0.7500, 0.2599)  7 O 3.06-3.20
Cs (0.7500, 0.2500, 0.7401)  7 O 3.06-3.20
Cs (0.7500, 0.5553, 0.9889)  9 O 3.10-3.34
Cs (0.7500, 0.7500, 0.3681)  12 O 3.17-3.50
Cs (0.7500, 0.9447, 0.9889)  9 O 3.10-3.34
U (0.0000, 0.0000, 0.5000)  2 O 1.87
U (0.0000, 0.5000, 0.5000)  2 O 1.87
U (0.5000, 0.0000, 0.5000)  2 O 1.87
U (0.5000, 0.5000, 0.5000)  2 O 1.87
V (0.0394, 0.7500, 0.7821)  4 O 1.65-1.79
V (0.4606, 0.7500, 0.7821)  4 O 1.65-1.79
V (0.5394, 0.2500, 0.2179)  4 O 1.65-1.79
V (0.9606, 0.2500, 0.2179)  4 O 1.65-1.79
O (0.0152, 0.1473, 0.3423)  1 V 1.71
O (0.0152, 0.3527, 0.3423)  1 V 1.71
O (0.0351, 0.5680, 0.2750)  1 U 1.87
O (0.0351, 0.9320, 0.2750)  1 U 1.87
O (0.0534, 0.2500, 0.0141)  1 V 1.65
O (0.2500, 0.0102, 0.5509)  2 U 2.13
O (0.2500, 0.4898, 0.5509)  2 U 2.13
O (0.2500, 0.7500, 0.8259)  2 V 1.79
O (0.4466, 0.2500, 0.0141)  1 V 1.65
O (0.4649, 0.5680, 0.2750)  1 U 1.87
O (0.4649, 0.9320, 0.2750)  1 U 1.87
O (0.4848, 0.1473, 0.3423)  1 V 1.71
O (0.4848, 0.3527, 0.3423)  1 V 1.71
O (0.5152, 0.6473, 0.6577)  1 V 1.71
O (0.5152, 0.8527, 0.6577)  1 V 1.71
O (0.5351, 0.0680, 0.7250)  1 U 1.87
O (0.5351, 0.4320, 0.7250)  1 U 1.87
O (0.5534, 0.7500, 0.9859)  1 V 1.65
O (0.7500, 0.2500, 0.1741)  2 V 1.79
O (0.7500, 0.5102, 0.4491)  2 U 2.13
O (0.7500, 0.9898, 0.4491)  2 U 2.13
O (0.9466, 0.7500, 0.9859)  1 V 1.65
O (0.9649, 0.0680, 0.7250)  1 U 1.87
O (0.9649, 0.4320, 0.7250)  1 U 1.87
O (0.9848, 0.6473, 0.6577)  1 V 1.71
O (0.9848, 0.8527, 0.6577)  1 V 1.71

***

(2)
Density functional theory data (PBEsol) for a geometry-optimized CsV3O8 structure.

Values from the calculation:
E_form (uncorrected), meV per atom: -2341
E, eV/atom: -8.3278
N(E_F), states/eV/atom: 0.00
Density, g/cm³: 3.94
Spin magnetization, Bohr magnetons per cell: 0.0
Symmetry: P2_1/m, No. 11

Cell: 5.0106 8.5075 8.2346 Å, 90.00 96.98 90.00°
Last column: nearest neighbours and their distance in Å.
Element x y z (fractional)
Cs (0.0706, 0.2500, 0.4428)  8 O 2.98-3.33
Cs (0.9294, 0.7500, 0.5572)  8 O 2.98-3.33
V (0.0790, 0.2500, 0.9343)  1 O 1.60
V (0.4368, 0.5567, 0.1728)  2 O 1.61-1.75
V (0.4368, 0.9433, 0.1728)  2 O 1.61-1.75
V (0.5632, 0.0567, 0.8272)  2 O 1.61-1.75
V (0.5632, 0.4433, 0.8272)  2 O 1.61-1.75
V (0.9210, 0.7500, 0.0657)  1 O 1.60
O (0.1112, 0.6030, 0.2127)  2 V 1.75-1.91
O (0.1106, 0.7500, 0.9226)  1 V 1.60
O (0.1112, 0.8970, 0.2127)  2 V 1.75-1.91
O (0.3207, 0.0886, 0.9971)  3 V 1.86-1.98
O (0.3207, 0.4114, 0.9971)  3 V 1.86-1.98
O (0.4229, 0.2500, 0.7616)  2 V 1.84
O (0.4363, 0.5571, 0.6821)  1 V 1.61
O (0.4363, 0.9429, 0.6821)  1 V 1.61
O (0.5637, 0.0571, 0.3179)  1 V 1.61
O (0.5637, 0.4429, 0.3179)  1 V 1.61
O (0.5771, 0.7500, 0.2384)  2 V 1.84
O (0.6793, 0.5886, 0.0029)  3 V 1.86-1.98
O (0.6793, 0.9114, 0.0029)  3 V 1.86-1.98
O (0.8888, 0.1030, 0.7873)  2 V 1.75-1.91
O (0.8894, 0.2500, 0.0774)  1 V 1.60
O (0.8888, 0.3970, 0.7873)  2 V 1.75-1.91

***

(3)
Density functional theory data (PBEsol) for a geometry-optimized Cs2V4O9 structure.

Values from the calculation:
E_form (uncorrected), meV per atom: -2320
E, eV/atom: -8.1649
Density, g/cm³: 4.17
Spin magnetization, Bohr magnetons per cell: 8.0
Symmetry: P4_2/m, No. 84

Cell: 5.6876 5.6876 15.1057 Å, 90.00 90.00 90.00°
Last column: nearest neighbours and their distance in Å.
Element x y z (fractional)
Cs (0.2320, 0.2479, 0.0000)  10 O 3.14-3.36
Cs (0.2479, 0.7680, 0.5000)  10 O 3.14-3.36
Cs (0.7521, 0.2320, 0.5000)  10 O 3.14-3.36
Cs (0.7680, 0.7521, 0.0000)  10 O 3.14-3.36
V (0.2122, 0.3516, 0.2979)  1 O 1.64
V (0.2122, 0.3516, 0.7021)  1 O 1.64
V (0.3516, 0.7878, 0.2021)  1 O 1.64
V (0.3516, 0.7878, 0.7979)  1 O 1.64
V (0.6484, 0.2122, 0.2021)  1 O 1.64
V (0.6484, 0.2122, 0.7979)  1 O 1.64
V (0.7878, 0.6484, 0.2979)  1 O 1.64
V (0.7878, 0.6484, 0.7021)  1 O 1.64
O (0.1201, 0.6817, 0.2852)  3 V 1.91-1.96
O (0.1201, 0.6817, 0.7148)  3 V 1.91-1.96
O (0.2690, 0.2744, 0.4003)  1 V 1.64
O (0.2690, 0.2744, 0.5997)  1 V 1.64
O (0.2744, 0.7310, 0.0997)  1 V 1.64
O (0.2744, 0.7310, 0.9003)  1 V 1.64
O (0.3183, 0.1201, 0.2148)  3 V 1.91-1.96
O (0.3183, 0.1201, 0.7852)  3 V 1.91-1.96
O (0.5000, 0.5000, 0.2500)  4 V 1.98
O (0.5000, 0.5000, 0.7500)  4 V 1.98
O (0.6817, 0.8799, 0.2148)  3 V 1.91-1.96
O (0.6817, 0.8799, 0.7852)  3 V 1.91-1.96
O (0.7256, 0.2690, 0.0997)  1 V 1.64
O (0.7256, 0.2690, 0.9003)  1 V 1.64
O (0.7310, 0.7256, 0.4003)  1 V 1.64
O (0.7310, 0.7256, 0.5997)  1 V 1.64
O (0.8799, 0.3183, 0.2852)  3 V 1.91-1.96
O (0.8799, 0.3183, 0.7148)  3 V 1.91-1.96

***

(4)
Density functional theory data (PBEsol) for a geometry-optimized Cs2V4O9 structure.

Values from the calculation:
E_form (uncorrected), meV per atom: -2321
E, eV/atom: -8.1651
Density, g/cm³: 4.17
Spin magnetization, Bohr magnetons per cell: 8.0
Symmetry: I-42d, No. 122

Cell: 15.6312 15.6312 15.6312 Å, 159.03 159.03 29.82°
Last column: nearest neighbours and their distance in Å.
Element x y z (fractional)
Cs (0.1070, 0.6250, 0.9820)  10 O 3.13-3.37
Cs (0.3750, 0.3570, 0.4820)  10 O 3.13-3.37
Cs (0.6430, 0.1250, 0.0180)  10 O 3.13-3.37
Cs (0.8750, 0.8930, 0.5180)  10 O 3.13-3.37
V (0.1257, 0.0617, 0.6395)  1 O 1.64
V (0.2362, 0.6722, 0.8605)  1 O 1.64
V (0.3278, 0.1883, 0.5640)  1 O 1.64
V (0.4222, 0.4862, 0.3605)  1 O 1.64
V (0.5138, 0.8743, 0.9360)  1 O 1.64
V (0.6243, 0.7638, 0.4360)  1 O 1.64
V (0.8117, 0.3757, 0.1395)  1 O 1.64
V (0.9383, 0.5778, 0.0640)  1 O 1.64
O (0.0858, 0.3875, 0.9383)  3 V 1.91-1.96
O (0.0999, 0.0559, 0.5056)  1 V 1.64
O (0.1375, 0.3358, 0.4383)  3 V 1.91-1.96
O (0.1997, 0.1941, 0.5440)  1 V 1.64
O (0.2500, 0.7500, 0.5000)  4 V 1.98
O (0.3008, 0.8625, 0.1983)  3 V 1.91-1.96
O (0.3443, 0.8003, 0.9944)  1 V 1.64
O (0.4057, 0.9001, 0.9560)  1 V 1.64
O (0.4492, 0.1475, 0.0617)  3 V 1.91-1.96
O (0.5000, 0.5000, 0.0000)  4 V 1.98
O (0.5503, 0.5943, 0.4944)  1 V 1.64
O (0.6125, 0.5508, 0.6983)  3 V 1.91-1.96
O (0.6501, 0.6557, 0.4560)  1 V 1.64
O (0.6642, 0.1025, 0.8017)  3 V 1.91-1.96
O (0.8059, 0.3499, 0.0056)  1 V 1.64
O (0.8525, 0.9142, 0.3017)  3 V 1.91-1.96
O (0.8975, 0.6992, 0.5617)  3 V 1.91-1.96
O (0.9441, 0.4497, 0.0440)  1 V 1.64